Record 1
Entry from the Alexandria database: a relaxed Fe2Re crystal (GGA-PBE).

Cell and atoms, written as CIF:
```
data_Fe2Re
_chemical_formula_sum 'Fe4 Re2'
_cell_length_a 4.111
_cell_length_b 4.111
_cell_length_c 4.998
_cell_angle_alpha 90.00
_cell_angle_beta 90.00
_cell_angle_gamma 120.00
_symmetry_space_group_name_H-M 'P 1'
_symmetry_Int_Tables_number 1
loop_
_symmetry_equiv_pos_as_xyz
'x,y,z'
loop_
_atom_site_label
_atom_site_type_symbol
_atom_site_fract_x
_atom_site_fract_y
_atom_site_fract_z
Fe1 Fe 0.000 0.000 0.000
Fe2 Fe 0.000 0.000 0.500
Fe3 Fe 0.333 0.667 0.250
Fe4 Fe 0.667 0.333 0.750
Re1 Re 0.333 0.667 0.750
Re2 Re 0.667 0.333 0.250
```

Energy of formation from the pure elements   0.182 eV/atom
Crystal system   hexagonal

***

Record 2
Entry from the Alexandria database: a relaxed ZrCu2Ni crystal (GGA-PBE).

Cell and atoms, written as CIF:
```
data_ZrCu2Ni
_chemical_formula_sum 'Zr1 Cu2 Ni1'
_cell_length_a 2.777
_cell_length_b 3.518
_cell_length_c 5.848
_cell_angle_alpha 90.00
_cell_angle_beta 90.00
_cell_angle_gamma 90.00
_symmetry_space_group_name_H-M 'P 1'
_symmetry_Int_Tables_number 1
loop_
_symmetry_equiv_pos_as_xyz
'x,y,z'
loop_
_atom_site_label
_atom_site_type_symbol
_atom_site_fract_x
_atom_site_fract_y
_atom_site_fract_z
Zr1 Zr 0.000 0.000 0.000
Cu1 Cu 0.500 0.500 0.292
Cu2 Cu 0.500 0.500 0.708
Ni1 Ni 0.000 0.000 0.500
```

Energy of formation from the pure elements   -0.074 eV/atom
Crystal system   orthorhombic

***

Record 3
Entry from the Alexandria database: a relaxed La3Zn8Ni crystal (GGA-PBE).

Cell and atoms, written as CIF:
```
data_La3Zn8Ni
_chemical_formula_sum 'La3 Zn8 Ni1'
_cell_length_a 9.487
_cell_length_b 9.487
_cell_length_c 9.487
_cell_angle_alpha 33.95
_cell_angle_beta 33.95
_cell_angle_gamma 33.95
_symmetry_space_group_name_H-M 'P 1'
_symmetry_Int_Tables_number 1
loop_
_symmetry_equiv_pos_as_xyz
'x,y,z'
loop_
_atom_site_label
_atom_site_type_symbol
_atom_site_fract_x
_atom_site_fract_y
_atom_site_fract_z
La1 La 0.000 0.000 0.000
La2 La 0.127 0.127 0.127
La3 La 0.508 0.508 0.508
Zn1 Zn 0.054 0.565 0.565
Zn2 Zn 0.066 0.066 0.570
Zn3 Zn 0.066 0.570 0.066
Zn4 Zn 0.313 0.313 0.313
Zn5 Zn 0.565 0.054 0.565
Zn6 Zn 0.565 0.565 0.054
Zn7 Zn 0.570 0.066 0.066
Zn8 Zn 0.816 0.816 0.816
Ni1 Ni 0.644 0.644 0.644
```

Energy of formation from the pure elements   -0.208 eV/atom
Crystal system   trigonal

***

Record 4
Entry from the Alexandria database: a relaxed TbYInNi crystal (GGA-PBE).

Cell and atoms, written as CIF:
```
data_TbYInNi
_chemical_formula_sum 'Tb1 Y1 In1 Ni1'
_cell_length_a 5.111
_cell_length_b 5.111
_cell_length_c 5.111
_cell_angle_alpha 60.00
_cell_angle_beta 60.00
_cell_angle_gamma 60.00
_symmetry_space_group_name_H-M 'P 1'
_symmetry_Int_Tables_number 1
loop_
_symmetry_equiv_pos_as_xyz
'x,y,z'
loop_
_atom_site_label
_atom_site_type_symbol
_atom_site_fract_x
_atom_site_fract_y
_atom_site_fract_z
Tb1 Tb 0.000 0.000 0.000
Y1 Y 0.500 0.500 0.500
In1 In 0.750 0.750 0.750
Ni1 Ni 0.250 0.250 0.250
```

Energy of formation from the pure elements   -0.319 eV/atom
Crystal system   cubic

***

Record 5
Entry from the Alexandria database: a relaxed ZnOs crystal (GGA-PBE).

Cell and atoms, written as CIF:
```
data_ZnOs
_chemical_formula_sum 'Zn2 Os2'
_cell_length_a 2.822
_cell_length_b 2.822
_cell_length_c 7.189
_cell_angle_alpha 90.00
_cell_angle_beta 90.00
_cell_angle_gamma 90.00
_symmetry_space_group_name_H-M 'P 1'
_symmetry_Int_Tables_number 1
loop_
_symmetry_equiv_pos_as_xyz
'x,y,z'
loop_
_atom_site_label
_atom_site_type_symbol
_atom_site_fract_x
_atom_site_fract_y
_atom_site_fract_z
Zn1 Zn 0.250 0.250 0.128
Zn2 Zn 0.750 0.750 0.872
Os1 Os 0.250 0.250 0.618
Os2 Os 0.750 0.750 0.382
```

Energy of formation from the pure elements   0.068 eV/atom
Crystal system   tetragonal

***

Record 6
Entry from the Alexandria database: a relaxed LaPuN2 crystal (GGA-PBE).

Cell and atoms, written as CIF:
```
data_LaPuN2
_chemical_formula_sum 'La2 Pu2 N4'
_cell_length_a 3.518
_cell_length_b 6.076
_cell_length_c 6.082
_cell_angle_alpha 90.00
_cell_angle_beta 90.00
_cell_angle_gamma 90.00
_symmetry_space_group_name_H-M 'P 1'
_symmetry_Int_Tables_number 1
loop_
_symmetry_equiv_pos_as_xyz
'x,y,z'
loop_
_atom_site_label
_atom_site_type_symbol
_atom_site_fract_x
_atom_site_fract_y
_atom_site_fract_z
La1 La 0.250 0.250 0.087
La2 La 0.750 0.750 0.913
Pu1 Pu 0.250 0.750 0.423
Pu2 Pu 0.750 0.250 0.577
N1 N 0.250 0.003 0.720
N2 N 0.250 0.497 0.720
N3 N 0.750 0.503 0.280
N4 N 0.750 0.997 0.280
```

ΔE_f (raw)   -1.22 eV per atom
Crystal system   orthorhombic

***

| no. | D(E_F) (states/eV per cell) | DFT total energy (eV/cell) | calculated volume (Å³ per atom) |
| --- | --- | --- | --- |
| 1 | 5.458 | -57.7 | 12.2 |
| 2 | 2.204 | -22.8 | 14.3 |
| 3 | 6.364 | -33.2 | 19.8 |
| 4 | 3.685 | -20.9 | 23.6 |
| 5 | 1.535 | -24.7 | 14.3 |
| 6 | 11.929 | -81.6 | 16.3 |